Entry 1:
First-principles (PBE) data for a relaxed structure of LaY2Te3, as listed in Alexandria via LeMat-Bulk.

```
LaY2Te3
1.0
-2.2137 3.1421 6.6730
2.2137 -3.1421 6.6730
2.2137 3.1421 -6.6730
La Y Te
1 2 3
Cartesian
0.0000 0.0000 0.0000 La
0.0000 0.0000 4.5467 Y
0.0000 0.0000 8.7993 Y
2.2137 0.0000 2.3660 Te
0.0000 3.1421 0.0000 Te
0.0000 3.1421 4.3070 Te
```

As for the space group: No. 71. The uncorrected formation energy is -1.40 eV/atom. The density of states at the Fermi level comes out at 3.9 states/eV/f.u.



Entry 2:
First-principles (PBE) data for a relaxed structure of LaY2Te, as listed in Alexandria via LeMat-Bulk.

```
LaY2Te
1.0
0.0000 3.9335 3.9335
3.9335 0.0000 3.9335
3.9335 3.9335 0.0000
La Y Te
1 2 1
Cartesian
0.0000 0.0000 0.0000 La
1.9667 1.9667 1.9667 Y
3.9335 3.9335 3.9335 Y
5.9002 5.9002 5.9002 Te
```

As for the space group: No. 216. The uncorrected formation energy is -0.25 eV/atom. The density of states at the Fermi level comes out at 5.6 states/eV/f.u.



Entry 3:
First-principles (PBE) data for a relaxed structure of La3YTe, as listed in Alexandria via LeMat-Bulk.

```
La3YTe
1.0
5.7645 0.0000 0.0000
0.0000 5.7645 0.0000
0.0000 0.0000 5.7645
La Y Te
3 1 1
Cartesian
0.0000 0.0000 2.8822 La
0.0000 2.8822 0.0000 La
2.8822 0.0000 0.0000 La
0.0000 0.0000 0.0000 Y
2.8822 2.8822 2.8822 Te
```

As for the space group: No. 221. The uncorrected formation energy is 0.31 eV/atom. The calculation puts the offset from the most stable computed form at 492 meV/atom. The density of states at the Fermi level comes out at 8.9 states/eV/f.u.



| no. | final energy (eV/atom) |
| --- | --- |
| 1 | -5.946 |
| 2 | -5.501 |
| 3 | -4.565 |